1.
Material: BeHN2
Method: DFT, GGA-PBE
State: optimized geometry

The total energy is -5.052 eV per atom. The theoretical density is 2.62 g/cm3. As for the magnetization: 0.000 μB per cell. The density of states at the Fermi level is 3.84 states/eV/cell.

The structure belongs to space group I-42d (No. 122); the cell edges are 3.142, 3.142 and 9.769 Å and the angles 90.00°, 90.00° and 90.00°. The inequivalent atoms are Be at (0.000, 0.000, 0.000), H at (0.000, 0.000, 0.500) and N at (0.222, 0.250, 0.625).

2.
Material: Na2BeHN
Method: DFT, GGA-PBE
State: optimized geometry

The total energy is -2.884 eV per atom. The theoretical density is 1.73 g/cm3. As for the magnetization: 0.000 μB per cell. The density of states at the Fermi level is 1.88 states/eV/cell.

The structure belongs to space group P4/mmm (No. 123); the cell edges are 5.118, 5.118 and 2.564 Å and the angles 90.00°, 90.00° and 90.00°. The inequivalent atoms are Na at (0.000, 0.500, 0.000), Be at (0.000, 0.000, 0.500), H at (0.500, 0.500, 0.500) and N at (0.500, 0.500, 0.000).

3.
Material: BeNiH2N
Method: DFT, GGA-PBE
State: optimized geometry

The total energy is -4.389 eV per atom. The theoretical density is 3.34 g/cm3. As for the magnetization: 0.000 μB per cell. The density of states at the Fermi level is 2.50 states/eV/cell.

The structure belongs to space group P4/mmm (No. 123); the cell edges are 2.720, 2.720 and 5.620 Å and the angles 90.00°, 90.00° and 90.00°. The inequivalent atoms are Be at (0.000, 0.000, 0.000), Ni at (0.000, 0.000, 0.500), H at (0.000, 0.500, 0.000) and N at (0.500, 0.500, 0.500).